CaCrN2F | PBE+U | relaxed

Structure (CIF):
```
data_CaCrN2F
_chemical_formula_sum 'Ca1 Cr1 N2 F1'
_cell_length_a 3.8388
_cell_length_b 3.8388
_cell_length_c 3.9979
_cell_angle_alpha 90.00
_cell_angle_beta 90.00
_cell_angle_gamma 90.00
_space_group_name_H-M_alt 'P 4/m m m'
_space_group_IT_number 123
_space_group_name_Hall '-P 4 2'
loop_
_atom_site_label
_atom_site_fract_x
_atom_site_fract_y
_atom_site_fract_z
Ca1 0.0000 0.0000 0.0000
Cr1 0.5000 0.5000 0.5000
N1 0.0000 0.5000 0.5000
F1 0.5000 0.5000 0.0000
```

Theoretical density in Mg/m³: 3.92
Total DFT energy (no corrections) in eV/atom: -6.41
Distance to the lowest polymorph of the same formula in eV per atom: 0.000